Record 1
Entry from OQMD: crystalline Tb4GaSbS9 at its relaxed geometry (PBE).

Unit cell a=13.556 b=9.922 c=9.922 alpha=88.83 beta=90.00 gamma=90.00
Sites, in units of the cell vectors:
Ga1 0.591 0.388 0.177
Ga2 0.409 0.177 0.388
Ga3 0.909 0.888 0.677
Ga4 0.091 0.677 0.888
S1 0.500 0.004 0.004
S2 0.190 0.679 0.077
S3 0.082 0.349 0.161
S4 0.100 0.982 0.163
S5 0.690 0.577 0.179
S6 0.431 0.689 0.180
S7 0.698 0.206 0.181
S8 0.931 0.680 0.189
S9 0.302 0.181 0.206
S10 0.918 0.161 0.349
S11 0.755 0.891 0.357
S12 0.500 0.375 0.375
S13 0.247 0.497 0.381
S14 0.512 0.994 0.385
S15 0.255 0.857 0.391
S16 0.600 0.663 0.482
S17 0.012 0.885 0.494
S18 0.753 0.381 0.497
S19 0.000 0.504 0.504
S20 0.310 0.179 0.577
S21 0.418 0.849 0.661
S22 0.400 0.482 0.663
S23 0.810 0.077 0.679
S24 0.069 0.189 0.680
S25 0.802 0.706 0.681
S26 0.569 0.180 0.689
S27 0.198 0.681 0.706
S28 0.582 0.661 0.849
S29 0.745 0.391 0.857
S30 0.000 0.875 0.875
S31 0.253 0.997 0.881
S32 0.988 0.494 0.885
S33 0.245 0.357 0.891
S34 0.900 0.163 0.982
S35 0.488 0.385 0.994
S36 0.747 0.881 0.997
Sb1 0.887 0.328 0.165
Sb2 0.113 0.165 0.328
Sb3 0.613 0.828 0.665
Sb4 0.387 0.665 0.828
Tb1 0.315 0.457 0.126
Tb2 0.312 0.909 0.128
Tb3 0.896 0.948 0.168
Tb4 0.600 0.838 0.182
Tb5 0.100 0.682 0.338
Tb6 0.812 0.628 0.409
Tb7 0.396 0.668 0.448
Tb8 0.685 0.126 0.457
Tb9 0.185 0.957 0.626
Tb10 0.188 0.409 0.628
Tb11 0.604 0.448 0.668
Tb12 0.900 0.338 0.682
Tb13 0.400 0.182 0.838
Tb14 0.688 0.128 0.909
Tb15 0.104 0.168 0.948
Tb16 0.815 0.626 0.957

## Properties
Total energy, eV/atom: -5.74

---

Record 2
Entry from OQMD: crystalline ZnGa2SeS3 at its relaxed geometry (PBE).

Unit cell a=5.393 b=5.407 c=6.473 alpha=113.77 beta=113.96 gamma=90.76
Sites, in units of the cell vectors:
Ga1 0.758 0.258 0.504
Ga2 0.503 0.494 0.996
S1 0.883 0.390 0.256
S2 0.613 0.620 0.737
S3 0.130 0.121 0.737
Se1 0.372 0.865 0.273
Zn1 0.992 0.003 0.995

## Properties
Total energy, eV/atom: -4.02

---

Record 3
Entry from OQMD: crystalline Zn2GaSe2S at its relaxed geometry (PBE).

Unit cell a=7.058 b=7.058 c=7.097 alpha=99.65 beta=99.65 gamma=119.90
Sites, in units of the cell vectors:
Ga1 0.090 0.908 0.491
Ga2 0.908 0.090 0.991
S1 0.296 0.456 0.128
S2 0.456 0.296 0.628
Se1 0.944 0.771 0.102
Se2 0.593 0.117 0.124
Se3 0.771 0.944 0.602
Se4 0.117 0.593 0.624
Zn1 0.407 0.559 0.487
Zn2 0.721 0.242 0.498
Zn3 0.559 0.407 0.987
Zn4 0.242 0.721 0.998

## Properties
Total energy, eV/atom: -3.31

---

Record 4
Entry from OQMD: crystalline ZnGa2Se3S at its relaxed geometry (PBE).

Unit cell a=5.539 b=5.547 c=6.684 alpha=114.50 beta=113.80 gamma=90.60
Sites, in units of the cell vectors:
Ga1 0.746 0.259 0.505
Ga2 0.504 0.504 0.996
S1 0.613 0.622 0.741
Se1 0.370 0.865 0.268
Se2 0.896 0.404 0.268
Se3 0.130 0.105 0.728
Zn1 0.991 0.991 0.995

## Properties
Total energy, eV/atom: -3.79

---

Record 5
Entry from OQMD: crystalline SmGa3S at its relaxed geometry (PBE).

Unit cell a=4.868 b=4.868 c=4.868 alpha=90.00 beta=90.00 gamma=90.00
Sites, in units of the cell vectors:
Ga1 0.500 0.000 0.000
Ga2 0.000 0.500 0.000
Ga3 0.000 0.000 0.500
S1 0.000 0.000 0.000
Sm1 0.500 0.500 0.500

## Properties
Total energy, eV/atom: -3.54

---

Record 6
Entry from OQMD: crystalline Sm3GaS6 at its relaxed geometry (PBE).

Unit cell a=8.693 b=8.693 c=6.578 alpha=90.00 beta=90.00 gamma=102.42
Sites, in units of the cell vectors:
Ga1 0.199 0.801 0.479
Ga2 0.801 0.199 0.979
S1 0.100 0.572 0.306
S2 0.428 0.900 0.306
S3 0.365 0.311 0.311
S4 0.689 0.635 0.311
S5 0.783 0.217 0.325
S6 0.040 0.960 0.338
S7 0.572 0.100 0.806
S8 0.900 0.428 0.806
S9 0.311 0.365 0.811
S10 0.635 0.689 0.811
S11 0.217 0.783 0.825
S12 0.960 0.040 0.838
Sm1 0.285 0.085 0.017
Sm2 0.915 0.715 0.017
Sm3 0.400 0.600 0.104
Sm4 0.085 0.285 0.517
Sm5 0.715 0.915 0.517
Sm6 0.600 0.400 0.604

## Properties
Total energy, eV/atom: -5.93

---

Record 7
Entry from OQMD: crystalline Sr5ZnGa6S15 at its relaxed geometry (PBE).

Unit cell a=22.514 b=9.692 c=9.692 alpha=142.58 beta=90.00 gamma=90.00
Sites, in units of the cell vectors:
Ga1 0.159 0.999 0.068
Ga2 0.341 0.999 0.068
Ga3 0.250 0.700 0.091
Ga4 0.529 0.745 0.132
Ga5 0.971 0.745 0.132
Ga6 0.750 0.586 0.523
Ga7 0.250 0.523 0.586
Ga8 0.750 0.091 0.700
Ga9 0.029 0.132 0.745
Ga10 0.471 0.132 0.745
Ga11 0.659 0.068 0.999
Ga12 0.841 0.068 0.999
S1 0.504 0.483 0.093
S2 0.996 0.483 0.093
S3 0.158 0.854 0.170
S4 0.342 0.854 0.170
S5 0.629 0.779 0.182
S6 0.871 0.779 0.182
S7 0.250 0.202 0.189
S8 0.750 0.189 0.202
S9 0.083 0.237 0.232
S10 0.417 0.237 0.232
S11 0.583 0.232 0.237
S12 0.917 0.232 0.237
S13 0.250 0.616 0.252
S14 0.750 0.689 0.378
S15 0.004 0.093 0.483
S16 0.496 0.093 0.483
S17 0.750 0.252 0.616
S18 0.002 0.843 0.651
S19 0.498 0.843 0.651
S20 0.167 0.720 0.684
S21 0.333 0.720 0.684
S22 0.250 0.378 0.689
S23 0.667 0.684 0.720
S24 0.833 0.684 0.720
S25 0.129 0.182 0.779
S26 0.371 0.182 0.779
S27 0.502 0.651 0.843
S28 0.998 0.651 0.843
S29 0.658 0.170 0.854
S30 0.842 0.170 0.854
Sr1 0.750 0.777 0.078
Sr2 0.113 0.608 0.311
Sr3 0.387 0.608 0.311
Sr4 0.611 0.648 0.376
Sr5 0.889 0.648 0.376
Sr6 0.613 0.311 0.608
Sr7 0.887 0.311 0.608
Sr8 0.111 0.376 0.648
Sr9 0.389 0.376 0.648
Sr10 0.250 0.078 0.777
Zn1 0.000 0.996 0.996
Zn2 0.500 0.996 0.996

## Properties
Total energy, eV/atom: -4.59

---

Record 8
Entry from OQMD: crystalline TaGaS2 at its relaxed geometry (PBE).

Unit cell a=3.089 b=10.174 c=6.678 alpha=90.00 beta=90.00 gamma=90.00
Sites, in units of the cell vectors:
Ga1 0.179 0.000 0.250
Ga2 0.821 0.000 0.750
S1 0.000 0.783 0.000
S2 0.000 0.500 0.250
S3 0.000 0.218 0.500
S4 0.000 0.500 0.750
Ta1 0.500 0.603 0.000
Ta2 0.500 0.397 0.500

## Properties
Total energy, eV/atom: -6.12

---

Record 9
Entry from OQMD: crystalline Tb3GaS6 at its relaxed geometry (PBE).

Unit cell a=8.561 b=8.561 c=6.489 alpha=90.00 beta=90.00 gamma=102.50
Sites, in units of the cell vectors:
Ga1 0.800 0.200 0.020
Ga2 0.200 0.800 0.520
S1 0.960 0.040 0.164
S2 0.217 0.783 0.170
S3 0.309 0.367 0.188
S4 0.633 0.691 0.188
S5 0.568 0.101 0.198
S6 0.899 0.432 0.198
S7 0.040 0.960 0.664
S8 0.783 0.217 0.670
S9 0.367 0.309 0.688
S10 0.691 0.633 0.688
S11 0.101 0.568 0.698
S12 0.432 0.899 0.698
Tb1 0.598 0.402 0.394
Tb2 0.086 0.284 0.483
Tb3 0.716 0.914 0.483
Tb4 0.402 0.598 0.894
Tb5 0.284 0.086 0.983
Tb6 0.914 0.716 0.983

## Properties
Total energy, eV/atom: -5.91

---

Record 10
Entry from OQMD: crystalline TbGa3S at its relaxed geometry (PBE).

Unit cell a=4.849 b=4.849 c=4.849 alpha=90.00 beta=90.00 gamma=90.00
Sites, in units of the cell vectors:
Ga1 0.500 0.000 0.000
Ga2 0.000 0.500 0.000
Ga3 0.000 0.000 0.500
S1 0.000 0.000 0.000
Tb1 0.500 0.500 0.500

## Properties
Total energy, eV/atom: -3.48

---

Record 11
Entry from OQMD: crystalline ZnGa2Te3S at its relaxed geometry (PBE).

Unit cell a=5.890 b=5.914 c=7.077 alpha=114.54 beta=112.79 gamma=91.53
Sites, in units of the cell vectors:
Ga1 0.739 0.274 0.514
Ga2 0.513 0.510 0.990
S1 0.623 0.620 0.748
Te1 0.905 0.406 0.267
Te2 0.363 0.862 0.270
Te3 0.127 0.104 0.723
Zn1 0.979 0.974 0.988

## Properties
Total energy, eV/atom: -3.43

---

Record 12
Entry from OQMD: crystalline ZnGa2TeS3 at its relaxed geometry (PBE).

Unit cell a=5.504 b=5.572 c=6.523 alpha=112.52 beta=112.78 gamma=92.09
Sites, in units of the cell vectors:
Ga1 0.768 0.269 0.511
Ga2 0.506 0.487 0.993
S1 0.875 0.379 0.242
S2 0.625 0.616 0.739
S3 0.129 0.134 0.740
Te1 0.364 0.861 0.287
Zn1 0.983 0.005 0.988

## Properties
Total energy, eV/atom: -3.88

---

no.,volume (Å³/atom)
1,22.235
2,22.041
3,24.071
4,23.864
5,23.072
6,24.275
7,23.797
8,26.232
9,23.214
10,22.809
11,28.785
12,23.762